(1)
Material: Ac2CdSb3Rh6
Method: DFT, PBE
State: optimized geometry

Its total energy is -69.90 eV for the cell shown. The theoretical density comes out at 8.777 g/cm3. As for the uncorrected formation energy: -8.24 kcal/mol of atoms.

The space group is P4/mmm (No. 123) and the conventional cell measures 4.2066, 4.2066 and 16.5630 Å, with angles of 90.00, 90.00 and 90.00 degrees. Symmetry generates all atoms from Ac at (0.0000, 0.0000, 0.1738), Cd at (0.0000, 0.0000, 0.5000), Sb at (0.5000, 0.5000, 0.0000), Sb at (0.5000, 0.5000, 0.3081), Rh at (0.0000, 0.5000, 0.3947) and Rh at (0.5000, 0.5000, 0.1524).

(2)
Material: Ac2CdSb4Rh3
Method: DFT, PBE
State: optimized geometry

Its total energy is -55.06 eV for the cell shown. The theoretical density comes out at 9.423 g/cm3. As for the uncorrected formation energy: -17.04 kcal/mol of atoms.

The space group is P-4m2 (No. 115) and the conventional cell measures 4.6585, 4.6585 and 11.0615 Å, with angles of 90.00, 90.00 and 90.00 degrees. Symmetry generates all atoms from Ac at (0.0000, 0.5000, 0.2424), Cd at (0.0000, 0.0000, 0.5000), Sb at (0.0000, 0.0000, 0.0000), Sb at (0.0000, 0.5000, 0.6442), Sb at (0.5000, 0.5000, 0.0000), Rh at (0.0000, 0.5000, 0.8823) and Rh at (0.5000, 0.5000, 0.5000).

(3)
Material: AcCd2SbRh2
Method: DFT, PBE
State: optimized geometry

Its total energy is -25.95 eV for the cell shown. The theoretical density comes out at 8.440 g/cm3. As for the uncorrected formation energy: -4.56 kcal/mol of atoms.

The space group is P4/mmm (No. 123) and the conventional cell measures 4.9317, 4.9317 and 6.3051 Å, with angles of 90.00, 90.00 and 90.00 degrees. Symmetry generates all atoms from Ac at (0.0000, 0.0000, 0.0000), Cd at (0.5000, 0.5000, 0.2485), Sb at (0.0000, 0.0000, 0.5000) and Rh at (0.0000, 0.5000, 0.5000).

(4)
Material: AcCdSbRh
Method: DFT, PBE
State: optimized geometry

Its total energy is -71.10 eV for the cell shown. The theoretical density comes out at 9.542 g/cm3. As for the uncorrected formation energy: -7.37 kcal/mol of atoms.

The space group is F-43m (No. 216) and the conventional cell measures 7.3227, 7.3227 and 7.3227 Å, with angles of 90.00, 90.00 and 90.00 degrees. Symmetry generates all atoms from Ac at (0.0000, 0.0000, 0.0000), Cd at (0.2500, 0.2500, 0.7500), Sb at (0.0000, 0.0000, 0.5000) and Rh at (0.2500, 0.2500, 0.2500).

(5)
Material: AcCdSnRh3
Method: DFT, PBE
State: optimized geometry

Its total energy is -129.84 eV for the cell shown. The theoretical density comes out at 9.607 g/cm3. For the formation enthalpy at 0 K, the calculation gives -133 kJ/mol of formula units.

The space group is Cmcm (No. 63) and the conventional cell measures 6.5673, 12.5093 and 6.4534 Å, with angles of 90.00, 90.00 and 90.00 degrees. Symmetry generates all atoms from Ac at (0.0000, 0.1760, 0.2500), Cd at (0.0000, 0.4266, 0.2500), Sn at (0.0000, 0.1362, 0.7500), Rh at (0.0000, 0.3453, 0.7500) and Rh at (0.2113, 0.0000, 0.0000).

(6)
Material: Ac2CdSn2Rh5
Method: DFT, PBE
State: optimized geometry

Its total energy is -116.27 eV for the cell shown. The theoretical density comes out at 10.287 g/cm3. For the formation enthalpy at 0 K, the calculation gives -409 kJ/mol of formula units.

The space group is P4/mbm (No. 127) and the conventional cell measures 10.6013, 10.6013 and 3.7871 Å, with angles of 90.00, 90.00 and 90.00 degrees. Symmetry generates all atoms from Ac at (0.1759, 0.3241, 0.0000), Cd at (0.0000, 0.0000, 0.0000), Sn at (0.1226, 0.6226, 0.0000), Rh at (0.0000, 0.5000, 0.5000) and Rh at (0.0625, 0.7920, 0.5000).

(7)
Material: Ac2CdSn4Rh3
Method: DFT, PBE
State: optimized geometry

Its total energy is -53.62 eV for the cell shown. The theoretical density comes out at 9.323 g/cm3. For the formation enthalpy at 0 K, the calculation gives -620 kJ/mol of formula units.

The space group is P-4m2 (No. 115) and the conventional cell measures 4.6441, 4.6441 and 11.1479 Å, with angles of 90.00, 90.00 and 90.00 degrees. Symmetry generates all atoms from Ac at (0.0000, 0.5000, 0.2438), Cd at (0.0000, 0.0000, 0.5000), Sn at (0.0000, 0.0000, 0.0000), Sn at (0.0000, 0.5000, 0.6407), Sn at (0.5000, 0.5000, 0.0000), Rh at (0.0000, 0.5000, 0.8768) and Rh at (0.5000, 0.5000, 0.5000).

(8)
Material: Ac2CdSn3Rh4
Method: DFT, PBE
State: optimized geometry

Its total energy is -57.21 eV for the cell shown. The theoretical density comes out at 9.672 g/cm3. For the formation enthalpy at 0 K, the calculation gives -643 kJ/mol of formula units.

The space group is P-4m2 (No. 115) and the conventional cell measures 4.5089, 4.5089 and 11.2669 Å, with angles of 90.00, 90.00 and 90.00 degrees. Symmetry generates all atoms from Ac at (0.0000, 0.5000, 0.2498), Cd at (0.0000, 0.0000, 0.5000), Sn at (0.0000, 0.5000, 0.8758), Sn at (0.5000, 0.5000, 0.5000), Rh at (0.0000, 0.0000, 0.0000), Rh at (0.0000, 0.5000, 0.6410) and Rh at (0.5000, 0.5000, 0.0000).